# Ca2CdP | Alexandria | PBE | relaxed
# **Distance to the lowest polymorph of the same formula**: 9.60 kcal/mol of atoms
# **DOS at the Fermi energy**: 3.818 states/eV/f.u.
# **E**: -11.4 eV for the cell shown
# **ΔH_f (0 K)**: -0.28 eV per atom
data_Ca2CdP
_chemical_formula_sum 'Ca2 Cd1 P1'
_space_group_name_H-M_alt 'P 4 m m'
_space_group_IT_number 99
_cell_length_a 3.712
_cell_length_b 3.712
_cell_length_c 8.149
_cell_angle_alpha 90.00
_cell_angle_beta 90.00
_cell_angle_gamma 90.00
loop_
_space_group_symop_operation_xyz
'x,y,z'
'-y,x,z'
'-x,-y,z'
'y,-x,z'
'-x,y,z'
'y,x,z'
'x,-y,z'
'-y,-x,z'
loop_
_atom_site_label
_atom_site_type_symbol
_atom_site_fract_x
_atom_site_fract_y
_atom_site_fract_z
_atom_site_occupancy
Ca1 Ca 0.000 0.000 0.000 1
Ca2 Ca 0.500 0.500 0.407 1
Cd1 Cd 0.000 0.000 0.631 1
P1 P 0.500 0.500 0.802 1